No. 1
A geometry-optimized KGa2PdF structure, computed with PBE.

Structure (CIF):
```
data_KGa2PdF
_cell_length_a 4.765
_cell_length_b 4.789
_cell_length_c 4.765
_cell_angle_alpha 90.00
_cell_angle_beta 90.00
_cell_angle_gamma 90.00
_symmetry_space_group_name_H-M 'P 1'
_symmetry_Int_Tables_number 1
loop_
_symmetry_equiv_pos_as_xyz
'x,y,z'
loop_
_atom_site_label
_atom_site_type_symbol
_atom_site_fract_x
_atom_site_fract_y
_atom_site_fract_z
K1 K 0.000 0.500 0.000
Ga1 Ga 0.000 0.000 0.500
Ga2 Ga 0.500 0.000 0.000
Pd1 Pd 0.500 0.500 0.500
F1 F 0.000 0.000 0.000
```

Fermi-level density of states, states/eV/atom: 0.2071
E_tot, eV/cell: -16.765

No. 2
A geometry-optimized HfSnSb2I structure, computed with PBE.

Structure (CIF):
```
data_HfSnSb2I
_cell_length_a 5.604
_cell_length_b 5.604
_cell_length_c 5.557
_cell_angle_alpha 90.00
_cell_angle_beta 90.00
_cell_angle_gamma 90.00
_symmetry_space_group_name_H-M 'P 1'
_symmetry_Int_Tables_number 1
loop_
_symmetry_equiv_pos_as_xyz
'x,y,z'
loop_
_atom_site_label
_atom_site_type_symbol
_atom_site_fract_x
_atom_site_fract_y
_atom_site_fract_z
I1 I 0.000 0.000 0.500
Sb1 Sb 0.000 0.500 0.000
Sb2 Sb 0.500 0.000 0.000
Hf1 Hf 0.000 0.000 0.000
Sn1 Sn 0.500 0.500 0.500
```

Fermi-level density of states, states/eV/atom: 0.7957
Energy above the lowest structure with this stoichiometry, meV/atom: 0.0

No. 3
A geometry-optimized BaNiTe structure, computed with PBE.

Structure (CIF):
```
data_BaNiTe
_cell_length_a 5.823
_cell_length_b 5.823
_cell_length_c 9.410
_cell_angle_alpha 90.00
_cell_angle_beta 90.00
_cell_angle_gamma 120.00
_symmetry_space_group_name_H-M 'P 1'
_symmetry_Int_Tables_number 1
loop_
_symmetry_equiv_pos_as_xyz
'x,y,z'
loop_
_atom_site_label
_atom_site_type_symbol
_atom_site_fract_x
_atom_site_fract_y
_atom_site_fract_z
Ni1 Ni 0.000 0.000 0.000
Ni2 Ni 0.000 0.000 0.500
Te1 Te 0.000 0.000 0.250
Te2 Te 0.000 0.000 0.750
Ba1 Ba 0.333 0.667 0.250
Ba2 Ba 0.667 0.333 0.750
```

Fermi-level density of states, states/eV/atom: 0.0037
E_tot, eV/cell: -23.931